No. 1
The following is a DFT calculation (PBE-GGA) of a relaxed Ta4HgOs crystal.

```
Ta4HgOs
1.0
-5.137 -1.271 0.997
-2.575 2.258 4.155
-3.890 3.617 -0.886
Ta Hg Os
4 1 1
Cartesian
-6.923 1.086 2.098 Ta
-5.637 2.857 3.683 Ta
-6.297 3.539 1.153 Ta
-4.345 1.724 1.598 Ta
-8.701 3.452 3.200 Hg
0.000 0.000 0.000 Os
```

Properties
For the density of states at the Fermi level, the calculation gives 5.6 states/eV per cell. The calculation puts the total energy at -9.29 eV/atom. The energy of formation is 530 meV per atom.

***

No. 2
The following is a DFT calculation (PBE-GGA) of a relaxed Sb4Pd15Au crystal.

```
Sb4Pd15Au
1.0
4.053 0.000 0.000
0.000 4.053 0.000
0.000 0.000 20.165
Sb Pd Au
4 15 1
Cartesian
0.000 0.000 3.845 Sb
0.000 0.000 16.320 Sb
0.000 0.000 12.146 Sb
0.000 0.000 8.018 Sb
0.000 2.026 6.065 Pd
0.000 2.026 14.099 Pd
2.026 0.000 6.065 Pd
0.000 2.026 2.016 Pd
2.026 0.000 10.082 Pd
0.000 2.026 18.148 Pd
2.026 0.000 2.016 Pd
2.026 2.026 0.000 Pd
2.026 0.000 18.148 Pd
2.026 2.026 16.062 Pd
2.026 2.026 8.092 Pd
2.026 0.000 14.099 Pd
2.026 2.026 12.073 Pd
0.000 2.026 10.082 Pd
2.026 2.026 4.103 Pd
0.000 0.000 0.000 Au
```

Properties
For the density of states at the Fermi level, the calculation gives 8.1 states/eV per cell. The calculation puts the total energy at -5.22 eV/atom.

***

No. 3
The following is a DFT calculation (PBE-GGA) of a relaxed Na4H2N crystal.

```
Na4H2N
1.0
-3.254 -2.926 -2.252
3.549 -1.652 -2.983
1.417 -6.775 1.378
N Na H
1 4 2
Cartesian
0.000 0.000 0.000 N
0.941 -5.092 -0.121 Na
0.771 -6.261 -3.736 Na
1.775 -0.826 -1.491 Na
-1.627 -1.463 -1.126 Na
1.485 -8.785 -1.488 H
0.227 -2.568 -2.369 H
```

Properties
For the density of states at the Fermi level, the calculation gives 2.1 states/eV per cell. The calculation puts the total energy at -2.71 eV/atom.

***

No. 4
The following is a DFT calculation (PBE-GGA) of a relaxed V4ZnPt5 crystal.

```
V4ZnPt5
1.0
-2.663 0.488 -0.383
-0.319 -2.525 -0.999
-3.744 -6.532 17.701
V Pt Zn
4 5 1
Cartesian
-3.003 -5.239 14.199 V
-1.495 -2.608 7.068 V
-2.249 -3.923 10.633 V
-0.741 -1.292 3.502 V
-4.853 -6.885 15.206 Pt
-1.873 -1.684 1.113 Pt
-3.363 -4.284 8.159 Pt
-4.117 -5.599 11.722 Pt
-2.610 -2.970 4.597 Pt
0.000 0.000 0.000 Zn
```

Properties
For the density of states at the Fermi level, the calculation gives 6.6 states/eV per cell. The calculation puts the total energy at -7.36 eV/atom. The energy of formation is -569 meV per atom.

***

No. 5
The following is a DFT calculation (PBE-GGA) of a relaxed LiInBiPt crystal.

```
LiInBiPt
1.0
4.865 0.000 0.000
2.432 4.213 0.000
2.432 1.404 3.972
Bi In Li Pt
1 1 1 1
Cartesian
0.000 0.000 0.000 Bi
4.865 2.809 1.986 In
2.432 1.404 0.993 Li
7.297 4.213 2.979 Pt
```

Properties
For the density of states at the Fermi level, the calculation gives 3.4 states/eV per cell. The calculation puts the total energy at -3.94 eV/atom. The energy of formation is -298 meV per atom.

***

No. 6
The following is a DFT calculation (PBE-GGA) of a relaxed Dy4Hg2AsSe crystal.

```
Dy4Hg2AsSe
1.0
-1.348 3.753 -0.180
-3.295 -0.897 5.957
7.328 2.717 1.798
Hg Se Dy As
2 1 4 1
Cartesian
2.990 3.235 0.809 Hg
2.016 0.910 3.877 Hg
-2.321 1.428 2.888 Se
-0.815 -0.060 4.844 Dy
0.171 2.267 1.718 Dy
4.848 1.880 2.910 Dy
2.514 3.306 5.856 Dy
0.000 0.000 0.000 As
```

Properties
For the density of states at the Fermi level, the calculation gives 3.9 states/eV per cell. The calculation puts the total energy at -4.42 eV/atom.

***

No. 7
The following is a DFT calculation (PBE-GGA) of a relaxed U4P6Os7 crystal.

```
U4P6Os7
1.0
1.976 3.833 -5.594
3.496 -6.137 0.002
-6.944 -1.246 -0.334
P Os U
6 7 4
Cartesian
1.697 -0.715 -1.734 P
-2.379 -5.094 -0.229 P
-3.428 1.785 -4.090 P
3.775 -1.590 -3.858 P
-1.069 -2.290 -0.103 P
-1.541 0.802 -1.838 P
1.494 -0.505 -4.278 Os
-2.966 -3.045 -1.648 Os
1.874 -2.998 -2.879 Os
-1.116 0.717 -4.362 Os
-0.356 -4.268 -1.564 Os
0.000 0.000 0.000 Os
-3.346 -0.553 -3.047 Os
-3.472 -0.623 -0.167 U
0.988 1.917 -2.797 U
-0.736 -1.775 -2.963 U
1.748 -3.069 0.001 U
```

Properties
For the density of states at the Fermi level, the calculation gives 23.1 states/eV per cell. The calculation puts the total energy at -9.73 eV/atom. The energy of formation is -540 meV per atom.

***

No. 8
The following is a DFT calculation (PBE-GGA) of a relaxed TbDy4Ir5 crystal.

```
TbDy4Ir5
1.0
-1.542 -2.978 0.186
1.943 -0.843 2.606
-12.047 6.938 11.224
Ir Dy Tb
5 4 1
Cartesian
-5.823 1.559 7.008 Ir
-3.418 0.174 4.768 Ir
-10.630 4.327 11.487 Ir
-8.228 2.944 9.249 Ir
-1.016 -1.210 2.529 Ir
-2.416 1.391 2.251 Dy
-9.631 5.547 8.974 Dy
-4.821 2.777 4.492 Dy
-7.226 4.162 6.733 Dy
0.000 0.000 0.000 Tb
```

Properties
For the density of states at the Fermi level, the calculation gives 4.0 states/eV per cell. The calculation puts the total energy at -7.53 eV/atom. The energy of formation is -798 meV per atom.